1.
8
Lattice="-1.9860 -0.0357 3.5472 3.3871 -1.2273 1.8840 2.4017 8.8284 1.4334" Properties=species:S:1:pos:R:3 comment="NdFeAsO (GGA+U, optimized geometry)" dos_ef_per_ev_fu=0.5 energy_ev_per_cell=-52.85 pbc="T T T"
Nd 3.7902 7.0935 2.1934
As 2.4668 2.2287 1.4035
Fe 1.9014 3.7827 3.4323
O 0.0000 0.0000 0.0000
As 0.6354 5.9682 2.7455
Fe 1.2008 4.4142 0.7167
Nd -0.6880 1.1034 1.9557
O 0.7005 -0.6315 2.7156

2.
12
Lattice="-0.2045 3.7148 4.6249 -5.2088 -1.5689 -2.3746 2.4559 -5.0096 2.0258" Properties=species:S:1:pos:R:3 comment="NdFeAs2O8 (GGA+U, optimized geometry)" dos_ef_per_ev_fu=0.0 energy_ev_per_cell=-79.70 pbc="T T T"
Fe -2.7298 -2.7527 0.3882
Nd 0.0000 0.0000 0.0000
As -2.7067 1.0730 1.1251
O -0.7888 1.4371 4.3792
O -3.2196 1.2003 2.7732
O 1.2086 -3.0646 2.8267
As -0.2277 -0.1109 3.8879
O 0.4202 -0.2982 2.3075
O -1.6153 -3.3196 2.2833
O 1.1983 -0.7457 4.6063
O -2.2886 -0.5433 0.6689
O -1.7403 -0.8367 4.2586